# 1
# KMnTe2N (PBE, relaxed)
data_KMnTe2N
_chemical_formula_sum 'K1 Mn1 Te2 N1'
_space_group_name_H-M_alt 'P 4/m m m'
_space_group_IT_number 123
_space_group_name_Hall '-P 4 2'
_cell_length_a 6.075
_cell_length_b 6.075
_cell_length_c 4.795
_cell_angle_alpha 90.00
_cell_angle_beta 90.00
_cell_angle_gamma 90.00
loop_
_atom_site_label
_atom_site_fract_x
_atom_site_fract_y
_atom_site_fract_z
K1 0.000 0.000 0.000
Mn1 0.500 0.500 0.500
Te1 0.000 0.500 0.000
N1 0.000 0.000 0.500
# Formation energy without anion corrections (eV/atom): 1.6111
# Crystal system: tetragonal
# E above lowest polymorph (meV/atom): 1743
# Total energy (eV/atom): -3.3640



# 2
# Bi3P5Se12 (PBE, relaxed)
data_Bi3P5Se12
_chemical_formula_sum 'Bi24 P40 Se96'
_space_group_name_H-M_alt 'I a -3 d'
_space_group_IT_number 230
_space_group_name_Hall '-I 4bd 2c 3'
_cell_length_a 16.138
_cell_length_b 16.138
_cell_length_c 16.138
_cell_angle_alpha 90.00
_cell_angle_beta 90.00
_cell_angle_gamma 90.00
loop_
_atom_site_label
_atom_site_fract_x
_atom_site_fract_y
_atom_site_fract_z
Bi1 0.000 0.250 0.125
P1 0.000 0.000 0.000
P2 0.000 0.250 0.375
Se1 0.030 0.056 0.650
# Formation energy without anion corrections (eV/atom): 0.0571
# Crystal system: cubic
# Total energy (eV/atom): -3.9682



# 3
# CdMoOs2 (PBE, relaxed)
data_CdMoOs2
_chemical_formula_sum 'Cd1 Mo1 Os2'
_space_group_name_H-M_alt 'P 4/m m m'
_space_group_IT_number 123
_space_group_name_Hall '-P 4 2'
_cell_length_a 3.101
_cell_length_b 3.101
_cell_length_c 6.786
_cell_angle_alpha 90.00
_cell_angle_beta 90.00
_cell_angle_gamma 90.00
loop_
_atom_site_label
_atom_site_fract_x
_atom_site_fract_y
_atom_site_fract_z
Cd1 0.000 0.000 0.000
Mo1 0.000 0.000 0.500
Os1 0.500 0.500 0.279
# Crystal system: tetragonal
# Energy of formation (eV per atom): 0.411
# Total energy (eV/atom): -8.1400



# 4
# Na5Tl12Cd2 (PBE, relaxed)
data_Na5Tl12Cd2
_chemical_formula_sum 'Na10 Tl24 Cd4'
_space_group_name_H-M_alt 'C 1 2/m 1'
_space_group_IT_number 12
_cell_length_a 17.980
_cell_length_b 6.542
_cell_length_c 10.738
_cell_angle_alpha 90.00
_cell_angle_beta 104.24
_cell_angle_gamma 90.00
loop_
_space_group_symop_operation_xyz
'x,y,z'
'-x,-y,-z'
'-x,y,-z'
'x,-y,z'
'x+1/2,y+1/2,z'
'-x+1/2,-y+1/2,-z'
'-x+1/2,y+1/2,-z'
'x+1/2,-y+1/2,z'
loop_
_atom_site_label
_atom_site_fract_x
_atom_site_fract_y
_atom_site_fract_z
Na1 0.000 0.000 0.000
Na2 0.129 0.500 0.379
Na3 0.203 0.500 0.897
Tl1 0.021 0.500 0.845
Tl2 0.093 0.000 0.352
Tl3 0.147 0.256 0.118
Tl4 0.204 0.245 0.630
Cd1 0.000 0.272 0.500
# Crystal system: monoclinic
# E above lowest polymorph (meV/atom): 74
# Energy of formation (eV per atom): 0.032
# Total energy (eV/atom): -1.9057



# 5
# Nd2AsH (PBE, relaxed)
data_Nd2AsH
_chemical_formula_sum 'Nd6 As3 H3'
_space_group_name_H-M_alt 'R -3 m'
_space_group_IT_number 166
_space_group_name_Hall '-R 3 2"'
_cell_length_a 4.1061
_cell_length_b 4.1061
_cell_length_c 18.8330
_cell_angle_alpha 90.00
_cell_angle_beta 90.00
_cell_angle_gamma 120.00
loop_
_atom_site_label
_atom_site_fract_x
_atom_site_fract_y
_atom_site_fract_z
Nd1 0.0000 0.0000 0.2445
As1 0.0000 0.0000 0.0000
H1 0.0000 0.0000 0.5000
# Crystal system: trigonal
# E above lowest polymorph (meV/atom): 0
# Total energy (eV/atom): -5.2548



# 6
# YBBr (PBE, relaxed)
data_YBBr
_chemical_formula_sum 'Y4 B4 Br4'
_space_group_name_H-M_alt 'C 1 2/m 1'
_space_group_IT_number 12
_cell_length_a 6.144
_cell_length_b 3.547
_cell_length_c 11.801
_cell_angle_alpha 90.00
_cell_angle_beta 91.14
_cell_angle_gamma 90.00
loop_
_space_group_symop_operation_xyz
'x,y,z'
'-x,-y,-z'
'-x,y,-z'
'x,-y,z'
'x+1/2,y+1/2,z'
'-x+1/2,-y+1/2,-z'
'-x+1/2,y+1/2,-z'
'x+1/2,-y+1/2,z'
loop_
_atom_site_label
_atom_site_fract_x
_atom_site_fract_y
_atom_site_fract_z
Y1 0.006 0.000 0.153
B1 0.166 0.500 0.994
Br1 0.179 0.500 0.322
# Formation energy without anion corrections (eV/atom): -1.0626
# Crystal system: monoclinic
# Total energy (eV/atom): -6.0007



# 7
# PtWCl2 (PBE, relaxed)
data_PtWCl2
_chemical_formula_sum 'Pt2 W2 Cl4'
_space_group_name_H-M_alt 'C m m m'
_space_group_IT_number 65
_space_group_name_Hall '-C 2 2'
_cell_length_a 2.831
_cell_length_b 5.335
_cell_length_c 10.851
_cell_angle_alpha 90.00
_cell_angle_beta 90.00
_cell_angle_gamma 90.00
loop_
_atom_site_label
_atom_site_fract_x
_atom_site_fract_y
_atom_site_fract_z
Pt1 0.000 0.000 0.000
W1 0.000 0.000 0.500
Cl1 0.000 0.500 0.318
# Formation energy without anion corrections (eV/atom): 0.4446
# Crystal system: orthorhombic
# E above lowest polymorph (meV/atom): 604
# Total energy (eV/atom): -5.2272



# 8
# BaIn2HgPd (PBE, relaxed)
data_BaIn2HgPd
_chemical_formula_sum 'Ba1 In2 Hg1 Pd1'
_space_group_name_H-M_alt 'P 4/m m m'
_space_group_IT_number 123
_space_group_name_Hall '-P 4 2'
_cell_length_a 5.226
_cell_length_b 5.226
_cell_length_c 6.100
_cell_angle_alpha 90.00
_cell_angle_beta 90.00
_cell_angle_gamma 90.00
loop_
_atom_site_label
_atom_site_fract_x
_atom_site_fract_y
_atom_site_fract_z
Ba1 0.000 0.000 0.000
In1 0.000 0.500 0.500
Hg1 0.500 0.500 0.000
Pd1 0.000 0.000 0.500
# Crystal system: tetragonal
# E above lowest polymorph (meV/atom): 28
# Energy of formation (eV per atom): -0.338
# Total energy (eV/atom): -2.9171



# 9
# Ce2CdSb3Rh4 (PBE, relaxed)
data_Ce2CdSb3Rh4
_chemical_formula_sum 'Ce2 Cd1 Sb3 Rh4'
_space_group_name_H-M_alt 'P -4 m 2'
_space_group_IT_number 115
_cell_length_a 4.266
_cell_length_b 4.266
_cell_length_c 11.639
_cell_angle_alpha 90.00
_cell_angle_beta 90.00
_cell_angle_gamma 90.00
loop_
_space_group_symop_operation_xyz
'x,y,z'
'y,-x,-z'
'-x,-y,z'
'-y,x,-z'
'-x,y,z'
'-y,-x,-z'
'x,-y,z'
'y,x,-z'
loop_
_atom_site_label
_atom_site_fract_x
_atom_site_fract_y
_atom_site_fract_z
Ce1 0.000 0.500 0.244
Cd1 0.500 0.500 0.000
Sb1 0.000 0.000 0.000
Sb2 0.000 0.500 0.630
Rh1 0.000 0.000 0.500
Rh2 0.000 0.500 0.848
Rh3 0.500 0.500 0.500
# Formation energy without anion corrections (eV/atom): -0.7006
# Crystal system: tetragonal
# Total energy (eV/atom): -6.1562



# 10
# SmHfOsPd (PBE, relaxed)
data_SmHfOsPd
_chemical_formula_sum 'Sm4 Hf4 Os4 Pd4'
_space_group_name_H-M_alt 'F -4 3 m'
_space_group_IT_number 216
_space_group_name_Hall 'F -4 2 3'
_cell_length_a 6.801
_cell_length_b 6.801
_cell_length_c 6.801
_cell_angle_alpha 90.00
_cell_angle_beta 90.00
_cell_angle_gamma 90.00
loop_
_atom_site_label
_atom_site_fract_x
_atom_site_fract_y
_atom_site_fract_z
Sm1 0.000 0.000 0.000
Hf1 0.000 0.000 0.500
Os1 0.250 0.250 0.750
Pd1 0.250 0.250 0.250
# Crystal system: cubic
# Energy of formation (eV per atom): -0.452
# Total energy (eV/atom): -8.2260



# 11
# In2FeTe (PBE, relaxed)
data_In2FeTe
_chemical_formula_sum 'In2 Fe1 Te1'
_space_group_name_H-M_alt 'P 1 2/m 1'
_space_group_IT_number 10
_cell_length_a 4.840
_cell_length_b 4.068
_cell_length_c 6.064
_cell_angle_alpha 90.00
_cell_angle_beta 113.43
_cell_angle_gamma 90.00
loop_
_space_group_symop_operation_xyz
'x,y,z'
'-x,-y,-z'
'-x,y,-z'
'x,-y,z'
loop_
_atom_site_label
_atom_site_fract_x
_atom_site_fract_y
_atom_site_fract_z
In1 0.160 0.000 0.321
Fe1 0.000 0.500 0.000
Te1 0.500 0.500 0.000
# Formation energy without anion corrections (eV/atom): 0.2081
# Crystal system: monoclinic
# Total energy (eV/atom): -4.0622